[1]
NaAuCl3: optimized geometry, PBE.

Computed properties:
- excess energy over the best structure of this formula in the dataset (meV/atom) = 244
- space-group type = Pm-3m (221)
- total magnetization (μB/cell) = 0.00
- E_form (uncorrected) (meV per atom) = -742.2
- energy (eV/atom) = -2.7695

```
NaAuCl3
1.0
5.096 0.000 0.000
0.000 5.096 0.000
0.000 0.000 5.096
Na Au Cl
1 1 3
direct
0.000 0.000 0.000 Na
0.500 0.500 0.500 Au
0.000 0.500 0.500 Cl
0.500 0.000 0.500 Cl
0.500 0.500 0.000 Cl
```

[2]
TaTeMo2: optimized geometry, PBE.

Computed properties:
- space-group type = Pmmm (47)
- total magnetization (μB/cell) = 0.00
- E_form (uncorrected) (meV per atom) = 377.0
- energy (eV/atom) = -8.7872

```
TaTeMo2
1.0
3.345 0.000 0.000
0.000 4.490 0.000
0.000 0.000 4.719
Ta Te Mo
1 1 2
direct
0.000 0.000 0.000 Ta
0.500 0.500 0.000 Te
0.000 0.500 0.500 Mo
0.500 0.000 0.500 Mo
```

[3]
Tb2PrHo: optimized geometry, PBE.

Computed properties:
- excess energy over the best structure of this formula in the dataset (meV/atom) = 18
- space-group type = Cm (8)
- total magnetization (μB/cell) = 0.00
- energy of formation from the pure elements (meV per atom) = 37.6
- energy (eV/atom) = -4.6169

```
Tb2PrHo
1.0
13.153 0.000 0.000
0.000 3.583 0.000
-0.005 0.000 11.217
Tb Pr Ho
8 4 4
direct
0.000 0.000 0.000 Tb
0.109 0.500 0.271 Tb
0.228 0.000 0.507 Tb
0.348 0.000 0.778 Tb
0.500 0.500 0.000 Tb
0.609 0.000 0.271 Tb
0.728 0.500 0.507 Tb
0.848 0.500 0.778 Tb
0.346 0.000 0.234 Pr
0.464 0.500 0.514 Pr
0.846 0.500 0.234 Pr
0.964 0.000 0.514 Pr
0.112 0.500 0.742 Ho
0.229 0.500 0.004 Ho
0.612 0.000 0.742 Ho
0.729 0.000 0.004 Ho
```